10
Lattice="6.841 0.000 0.000 0.000 6.841 0.000 0.000 0.000 3.897" Properties=species:S:1:pos:R:3 comment="Cd2Fe2Hg (PBE, optimized geometry)" final_energy_ev_per_cell=-34.47 spacegroup="P4/mbm, No. 127" e_form_mev_per_atom=365 pbc="T T T"
Cd 1.193 2.228 0.000
Cd 2.228 5.648 0.000
Cd 4.613 1.193 0.000
Cd 5.648 4.613 0.000
Fe 0.791 4.211 1.948
Fe 2.630 0.791 1.948
Fe 4.211 6.050 1.948
Fe 6.050 2.630 1.948
Hg 0.000 0.000 1.948
Hg 3.421 3.421 1.948